Record 1
Computed, not measured: a relaxed structure of Ac2Te4Pb at the PBE level of DFT.

The total magnetization comes out at 0.0 Bohr magnetons per cell. As for the total energy: -65.8 eV for the cell shown. The energy above the most stable polymorph in this dataset is 0.000 eV per formula unit. The calculation puts the raw formation energy at -1.2044 eV per atom.

Lattice parameters (Å, degrees): 8.3423 13.2450 4.9238 90.00 90.00 90.00
Last column: nearest neighbours and their distance in Å.
Space group Pbam (No. 55)
Asymmetric unit:
Ac  0.0972  0.1812  0.0000 x4  6 Te 3.32-3.39
Te  0.1370  0.7235  0.5000 x4  1 Pb 3.17, 4 Ac 3.36-3.39
Te  0.2503  0.4494  0.0000 x4  2 Pb 3.30, 2 Ac 3.32-3.37
Pb  0.0000  0.5000  0.5000 x2  6 Te 3.17-3.30

Record 2
Computed, not measured: a relaxed structure of Ac3Te2Pb at the PBE level of DFT.

The total magnetization comes out at 0.0 Bohr magnetons per cell. As for the total energy: -59.5 eV for the cell shown. The energy above the most stable polymorph in this dataset is 0.016 eV per formula unit. The calculation puts the raw formation energy at -1.2382 eV per atom.

Lattice parameters (Å, degrees): 4.8354 6.7647 14.3107 90.00 90.00 90.00
Last column: nearest neighbours and their distance in Å.
Space group Immm (No. 71)
Asymmetric unit:
Ac  0.0000  0.0000  0.0000 x2  2 Pb 3.38, 4 Te 3.41
Ac  0.0000  0.0000  0.3379 x4  2 Pb 3.35, 4 Te 3.38-3.43
Te  0.0000  0.5000  0.3324 x4  6 Ac 3.38-3.43
Pb  0.0000  0.5000  0.0000 x2  6 Ac 3.35-3.38

Record 3
Computed, not measured: a relaxed structure of AcTe4Pb2 at the PBE level of DFT.

The total magnetization comes out at 0.0 Bohr magnetons per cell. As for the total energy: -116.4 eV for the cell shown. The calculation puts the raw formation energy at -0.7149 eV per atom.

Lattice parameters (Å, degrees): 4.6578 15.1826 14.6880 90.00 90.00 90.00
Last column: nearest neighbours and their distance in Å.
Space group Cmcm (No. 63)
Asymmetric unit:
Ac  0.0000  0.0962  0.2500 x4  6 Te 3.30-3.44
Te  0.0000  0.0000  0.0000 x4  4 Pb 3.21
Te  0.0000  0.2776  0.6378 x8  3 Pb 3.15-3.40, 1 Te 3.30, 2 Ac 3.44
Te  0.0000  0.4421  0.2500 x4  2 Pb 3.07, 2 Ac 3.30
Pb  0.0000  0.3652  0.0569 x8  6 Te 3.07-3.40

Record 4
Computed, not measured: a relaxed structure of Ac3Te6Pb at the PBE level of DFT.

The total magnetization comes out at 0.0 Bohr magnetons per cell. As for the total energy: -93.1 eV for the cell shown. The calculation puts the raw formation energy at -1.1667 eV per atom.

Lattice parameters (Å, degrees): 11.7267 4.7790 14.4534 90.00 101.10 90.00
Last column: nearest neighbours and their distance in Å.
Space group P2_1/m (No. 11)
Asymmetric unit:
Ac  0.1332  0.2500  0.1387 x2  6 Te 3.31-3.70
Ac  0.1735  0.7500  0.5059 x2  7 Te 3.31-3.44
Ac  0.3458  0.2500  0.8972 x2  6 Te 3.27-3.43
Te  0.0310  0.2500  0.3655 x2  4 Ac 3.31-3.70
Te  0.0660  0.2500  0.9017 x2  4 Ac 3.29-3.36
Te  0.2646  0.7500  0.2936 x2  2 Pb 3.30, 3 Ac 3.43-3.44, 1 Te 3.67
Te  0.3003  0.7500  0.7402 x2  3 Ac 3.27-3.43, 1 Pb 3.30
Te  0.3560  0.7500  0.0643 x2  3 Ac 3.38-3.43, 1 Te 3.67
Te  0.3769  0.2500  0.5381 x2  3 Pb 3.09-3.30, 2 Ac 3.34
Pb  0.4597  0.2500  0.3474 x2  6 Te 3.09-3.30

Record 5
Computed, not measured: a relaxed structure of Ac4Te5Pb at the PBE level of DFT.

The total magnetization comes out at 0.0 Bohr magnetons per cell. As for the total energy: -145.1 eV for the cell shown. The calculation puts the raw formation energy at -1.2514 eV per atom.

Lattice parameters (Å, degrees): 4.7540 4.7540 57.3351 90.00 90.00 120.00
Last column: nearest neighbours and their distance in Å.
Space group R-3m (No. 166, hexagonal axes)
Asymmetric unit:
Ac  0.0000  0.0000  0.0987 x6  6 Te 3.30-3.43
Ac  0.0000  0.0000  0.2994 x6  6 Te 3.33-3.36
Te  0.0000  0.0000  0.0000 x3  6 Ac 3.37
Te  0.0000  0.0000  0.1988 x6  3 Pb 3.31, 3 Ac 3.43
Te  0.0000  0.0000  0.4001 x6  6 Ac 3.30-3.33
Pb  0.0000  0.0000  0.5000 x3  6 Te 3.31

Record 6
Computed, not measured: a relaxed structure of Ac2Te4Pb at the PBE level of DFT.

The total magnetization comes out at 0.0 Bohr magnetons per cell. As for the total energy: -131.5 eV for the cell shown. The energy above the most stable polymorph in this dataset is 0.054 eV per formula unit. The calculation puts the raw formation energy at -1.1966 eV per atom.

Lattice parameters (Å, degrees): 15.4342 4.7396 15.9244 90.00 90.00 90.00
Last column: nearest neighbours and their distance in Å.
Space group Pnma (No. 62)
Asymmetric unit:
Ac  0.1118  0.2500  0.0819 x4  6 Te 3.29-3.39
Ac  0.1477  0.2500  0.7056 x4  6 Te 3.27-3.41
Te  0.0220  0.7500  0.6119 x4  3 Pb 3.11-3.35, 2 Ac 3.41
Te  0.0331  0.2500  0.8835 x4  4 Ac 3.30-3.39
Te  0.2176  0.2500  0.2609 x4  3 Ac 3.27-3.29
Te  0.2485  0.2500  0.5195 x4  2 Pb 3.32, 3 Ac 3.35
Pb  0.1212  0.7500  0.4417 x4  5 Te 3.11-3.35

Record 7
Computed, not measured: a relaxed structure of Ac6Te8Pb at the PBE level of DFT.

The total magnetization comes out at 0.0 Bohr magnetons per cell. As for the total energy: -296.9 eV for the cell shown. The calculation puts the raw formation energy at -1.3814 eV per atom.

Lattice parameters (Å, degrees): 13.3537 13.3537 13.3537 90.00 90.00 90.00
Last column: nearest neighbours and their distance in Å.
Space group Fm-3m (No. 225)
Asymmetric unit:
Ac  0.0000  0.2500  0.2500 x24  6 Te 3.34
Te  0.0000  0.0000  0.2482 x24  1 Pb 3.31, 4 Ac 3.34
Te  0.2500  0.2500  0.2500 x8  6 Ac 3.34
Pb  0.0000  0.0000  0.0000 x4  6 Te 3.31

Record 8
Computed, not measured: a relaxed structure of Ac12Te5Pb3 at the PBE level of DFT.

The total magnetization comes out at 8.3 Bohr magnetons per cell. As for the total energy: -692.6 eV for the cell shown. The calculation puts the raw formation energy at -0.5219 eV per atom.

Lattice parameters (Å, degrees): 19.5455 19.5455 19.5455 90.00 90.00 90.00
Last column: nearest neighbours and their distance in Å.
Space group Ia-3d (No. 230)
Asymmetric unit:
Ac  0.0211  0.0727  0.6497 x96  2 Te 3.16-3.28, 1 Pb 3.52
Te  0.0000  0.0000  0.0000 x16  6 Ac 3.28
Te  0.0000  0.2500  0.3750 x24  4 Ac 3.16
Pb  0.0000  0.2500  0.1250 x24  8 Ac 3.52-3.74

Record 9
Computed, not measured: a relaxed structure of Ac5Te8Pb at the PBE level of DFT.

The total magnetization comes out at 0.0 Bohr magnetons per cell. As for the total energy: -138.5 eV for the cell shown. The calculation puts the raw formation energy at -1.4184 eV per atom.

Lattice parameters (Å, degrees): 9.9782 9.9782 10.0235 90.00 90.00 90.00
Last column: nearest neighbours and their distance in Å.
Space group I-4 (No. 82)
Asymmetric unit:
Ac  0.0000  0.0000  0.0000 x2  8 Te 3.37-3.51
Ac  0.1293  0.2513  0.3824 x8  8 Te 3.36-3.63
Te  0.0715  0.1750  0.7051 x8  1 Pb 3.35, 5 Ac 3.37-3.63
Te  0.0789  0.3238  0.0571 x8  5 Ac 3.36-3.54, 1 Pb 3.63
Pb  0.0000  0.5000  0.7500 x2  8 Te 3.35-3.63

Record 10
Computed, not measured: a relaxed structure of Ac5TePb4 at the PBE level of DFT.

The total magnetization comes out at 0.0 Bohr magnetons per cell. As for the total energy: -90.5 eV for the cell shown. The calculation puts the raw formation energy at -0.6744 eV per atom.

Lattice parameters (Å, degrees): 10.8457 10.8457 6.8404 90.00 90.00 90.00
Last column: nearest neighbours and their distance in Å.
Space group I4/m (No. 87)
Asymmetric unit:
Ac  0.0000  0.0000  0.0000 x2  4 Pb 3.41, 2 Te 3.42
Ac  0.0965  0.7013  0.5000 x8  1 Te 3.40, 5 Pb 3.42-3.49
Te  0.0000  0.0000  0.5000 x2  6 Ac 3.40-3.42
Pb  0.1022  0.7025  0.0000 x8  6 Ac 3.41-3.49

Record 11
Computed, not measured: a relaxed structure of AcTePb at the PBE level of DFT.

The total magnetization comes out at 0.0 Bohr magnetons per cell. As for the total energy: -26.1 eV for the cell shown. The energy above the most stable polymorph in this dataset is 0.484 eV per formula unit. The calculation puts the raw formation energy at -0.6956 eV per atom.

Lattice parameters (Å, degrees): 4.3972 4.3972 11.4247 90.00 90.00 90.00
Last column: nearest neighbours and their distance in Å.
Space group I4mm (No. 107)
Asymmetric unit:
Ac  0.0000  0.0000  0.0000 x2  4 Te 3.38, 4 Pb 3.64
Te  0.0000  0.0000  0.3843 x2  1 Pb 3.21, 4 Ac 3.38
Pb  0.0000  0.0000  0.6651 x2  1 Te 3.21

Record 12
Computed, not measured: a relaxed structure of AcTe2Pb at the PBE level of DFT.

The total magnetization comes out at 0.0 Bohr magnetons per cell. As for the total energy: -36.0 eV for the cell shown. The calculation puts the raw formation energy at -0.9718 eV per atom.

Lattice parameters (Å, degrees): 5.3765 6.6768 8.7001 68.78 88.82 80.66
Last column: nearest neighbours and their distance in Å.
Space group P-1 (No. 2)
Asymmetric unit:
Ac  0.2483  0.1627  0.1867 x2  7 Te 3.41-3.49
Te  0.1917  0.1267  0.5928 x2  2 Pb 3.03-3.35
Te  0.2663  0.7174  0.0753 x2  1 Pb 3.22, 4 Ac 3.42-3.49
Pb  0.3079  0.5344  0.6338 x2  3 Te 3.03-3.35, 1 Pb 3.19

Record 13
Computed, not measured: a relaxed structure of Ac4TePb5 at the PBE level of DFT.

The total magnetization comes out at 0.0 Bohr magnetons per cell. As for the total energy: -89.9 eV for the cell shown. The calculation puts the raw formation energy at -0.6833 eV per atom.

Lattice parameters (Å, degrees): 4.7260 11.9245 12.8591 90.00 90.00 90.00
Last column: nearest neighbours and their distance in Å.
Space group Immm (No. 71)
Asymmetric unit:
Ac  0.0000  0.0000  0.1897 x4  2 Te 3.40, 6 Pb 3.53-3.79
Ac  0.0000  0.2221  0.5000 x4  1 Te 3.31, 6 Pb 3.49-3.55
Te  0.0000  0.5000  0.5000 x2  6 Ac 3.31-3.40
Pb  0.0000  0.3180  0.1965 x8  3 Pb 3.18-3.33, 4 Ac 3.49-3.53
Pb  0.0000  0.5000  0.0000 x2  4 Pb 3.33, 4 Ac 3.55

Record 14
Computed, not measured: a relaxed structure of Ac3TePb at the PBE level of DFT.

The total magnetization comes out at 1.4 Bohr magnetons per cell. As for the total energy: -46.0 eV for the cell shown. The calculation puts the raw formation energy at -0.7626 eV per atom.

Lattice parameters (Å, degrees): 9.1551 4.7446 9.7414 90.00 99.05 90.00
Last column: nearest neighbours and their distance in Å.
Space group P2_1/m (No. 11)
Asymmetric unit:
Ac  0.0895  0.2500  0.2978 x2  3 Te 3.30-3.33, 2 Pb 3.48
Ac  0.3185  0.2500  0.9686 x2  1 Te 3.33, 2 Pb 3.50
Ac  0.4013  0.7500  0.6257 x2  2 Te 3.34, 2 Pb 3.42
Te  0.1468  0.2500  0.6407 x2  6 Ac 3.30-3.34
Pb  0.3494  0.7500  0.2362 x2  7 Ac 3.42-3.75

Record 15
Computed, not measured: a relaxed structure of AcTe3Pb2 at the PBE level of DFT.

The total magnetization comes out at 0.0 Bohr magnetons per cell. As for the total energy: -95.7 eV for the cell shown. The calculation puts the raw formation energy at -0.4964 eV per atom.

Lattice parameters (Å, degrees): 9.4010 16.2337 6.1030 90.00 90.00 90.00
Last column: nearest neighbours and their distance in Å.
Space group Cmcm (No. 63)
Asymmetric unit:
Ac  0.0000  0.2322  0.2500 x4  4 Te 3.31-3.55
Te  0.0000  0.3436  0.7500 x4  4 Pb 3.41, 2 Te 3.43, 2 Ac 3.55
Te  0.1953  0.1653  0.7500 x8  2 Pb 3.30, 1 Ac 3.31, 2 Te 3.43-3.67
Pb  0.1795  0.5000  0.0000 x8  3 Pb 3.05-3.38, 4 Te 3.30-3.41

Record 16
Computed, not measured: a relaxed structure of Ac8Te4Pb3 at the PBE level of DFT.

The total magnetization comes out at 0.0 Bohr magnetons per cell. As for the total energy: -143.3 eV for the cell shown. The calculation puts the raw formation energy at -1.0072 eV per atom.

Lattice parameters (Å, degrees): 13.4458 13.5047 9.4874 90.00 134.55 90.00
Last column: nearest neighbours and their distance in Å.
Space group C2/m (No. 12)
Asymmetric unit:
Ac  0.0000  0.2480  0.0000 x4  3 Pb 3.35-3.38, 3 Te 3.36-3.40
Ac  0.0000  0.2476  0.5000 x4  2 Pb 3.36, 3 Te 3.38-3.41
Ac  0.2419  0.0000  0.4952 x4  3 Pb 3.35-3.38, 2 Te 3.41-3.44
Ac  0.2445  0.0000  0.9967 x4  1 Pb 3.31, 4 Te 3.38-3.41
Te  0.0000  0.5000  0.0000 x2  6 Ac 3.40-3.41
Te  0.0000  0.5000  0.5000 x2  6 Ac 3.40-3.44
Te  0.2500  0.2500  0.0000 x4  6 Ac 3.36-3.38
Pb  0.0000  0.0000  0.0000 x2  6 Ac 3.31-3.35
Pb  0.2500  0.2500  0.5000 x4  6 Ac 3.36-3.38

Record 17
Computed, not measured: a relaxed structure of AcTePb at the PBE level of DFT.

The total magnetization comes out at 0.0 Bohr magnetons per cell. As for the total energy: -54.1 eV for the cell shown. The energy above the most stable polymorph in this dataset is 0.000 eV per formula unit. The calculation puts the raw formation energy at -0.8569 eV per atom.

Lattice parameters (Å, degrees): 9.1542 5.2743 10.0679 90.00 107.55 90.00
Last column: nearest neighbours and their distance in Å.
Space group C2/m (No. 12)
Asymmetric unit:
Ac  0.0863  0.0000  0.2593 x4  4 Te 3.25-3.48, 3 Pb 3.57
Te  0.2073  0.0000  0.6221 x4  4 Ac 3.25-3.48
Pb  0.1448  0.5000  0.9340 x4  3 Pb 3.30-3.31, 3 Ac 3.57